DFT (PBE-GGA) results for crystalline TbNd2Ho4Tm2 at its relaxed geometry.

a b c (Å): 5.9838 6.5958 8.5560
angles (deg): 79.97 70.42 65.06
Space group P-1 (No. 2)
Asymmetric unit:
Tb 0.0000 0.0000 0.0000 (multiplicity 1)
Nd 0.2689 0.6748 0.6578 (multiplicity 2)
Ho 0.2599 0.4241 0.1148 (multiplicity 2)
Ho 0.3827 0.8728 0.2383 (multiplicity 2)
Tm 0.1786 0.2303 0.5549 (multiplicity 2)

Summary:
VASP energy (eV per atom): -4.52
Energy relative to the elements (eV/atom): 0.086
Fermi-level density of states (states/eV/atom): 1.541
Volume (Å³ per cell): 288.29
Crystal system: triclinic

---

DFT (PBE-GGA) results for crystalline Li2Pm2Pd5 at its relaxed geometry.

a b c (Å): 4.4187 4.4187 8.2862
angles (deg): 90.00 90.00 90.00
Space group P4/mmm (No. 123)
Asymmetric unit:
Li 0.0000 0.0000 0.1462 (multiplicity 2)
Pm 0.5000 0.5000 0.0000 (multiplicity 1)
Pm 0.5000 0.5000 0.5000 (multiplicity 1)
Pd 0.0000 0.0000 0.5000 (multiplicity 1)
Pd 0.0000 0.5000 0.2595 (multiplicity 4)

Summary:
VASP energy (eV per atom): -4.98
Energy relative to the elements (eV/atom): -0.614
Fermi-level density of states (states/eV/atom): 0.389
Volume (Å³ per cell): 161.79
Crystal system: tetragonal

---

DFT (PBE-GGA) results for crystalline LaSmThHg at its relaxed geometry.

a b c (Å): 7.8740 7.8740 7.8740
angles (deg): 90.00 90.00 90.00
Space group F-43m (No. 216)
Asymmetric unit:
La 0.0000 0.0000 0.0000 (multiplicity 4)
Sm 0.0000 0.0000 0.5000 (multiplicity 4)
Th 0.2500 0.2500 0.7500 (multiplicity 4)
Hg 0.2500 0.2500 0.2500 (multiplicity 4)

Summary:
VASP energy (eV per atom): -4.31
Energy relative to the elements (eV/atom): 0.027
Fermi-level density of states (states/eV/atom): 1.604
Volume (Å³ per cell): 488.19
Crystal system: cubic

---

DFT (PBE-GGA) results for crystalline Ba2AlAgH6 at its relaxed geometry.

a b c (Å): 5.2115 5.2115 21.8754
angles (deg): 90.00 90.00 120.00
Space group R-3m (No. 166, hexagonal axes)
Asymmetric unit:
Ba 0.0000 0.0000 0.2352 (multiplicity 6)
Al 0.0000 0.0000 0.5000 (multiplicity 3)
Ag 0.0000 0.0000 0.0000 (multiplicity 3)
H 0.0087 0.5044 0.2100 (multiplicity 18)

Summary:
VASP energy (eV per atom): -3.36
Volume (Å³ per cell): 514.52
Crystal system: trigonal

---

DFT (PBE-GGA) results for crystalline Sr2Al7Pd at its relaxed geometry.

a b c (Å): 4.3582 4.3582 11.3996
angles (deg): 90.00 90.00 90.00
Space group P-4m2 (No. 115)
Asymmetric unit:
Sr 0.0000 0.5000 0.2463 (multiplicity 2)
Al 0.0000 0.0000 0.0000 (multiplicity 1)
Al 0.0000 0.0000 0.5000 (multiplicity 1)
Al 0.0000 0.5000 0.6396 (multiplicity 2)
Al 0.0000 0.5000 0.8739 (multiplicity 2)
Al 0.5000 0.5000 0.5000 (multiplicity 1)
Pd 0.5000 0.5000 0.0000 (multiplicity 1)

Summary:
VASP energy (eV per atom): -3.83
Energy relative to the elements (eV/atom): -0.356
Fermi-level density of states (states/eV/atom): 0.521
Volume (Å³ per cell): 216.52
Crystal system: tetragonal

---

DFT (PBE-GGA) results for crystalline UGaCoRh at its relaxed geometry.

a b c (Å): 6.4037 6.4037 6.4037
angles (deg): 90.00 90.00 90.00
Space group F-43m (No. 216)
Asymmetric unit:
U 0.0000 0.0000 0.0000 (multiplicity 4)
Ga 0.0000 0.0000 0.5000 (multiplicity 4)
Co 0.2500 0.2500 0.2500 (multiplicity 4)
Rh 0.2500 0.2500 0.7500 (multiplicity 4)

Summary:
VASP energy (eV per atom): -7.51
Energy relative to the elements (eV/atom): -0.314
Fermi-level density of states (states/eV/atom): 1.472
Volume (Å³ per cell): 262.60
Crystal system: cubic